A) ## RbLiAl2C (GGA-PBE)

Data for RbLiAl2C after structural relaxation.

a b c (Å): 6.3417 6.3417 5.7165
angles (deg): 90.00 90.00 90.00
Last column: nearest neighbours and their distance in Å.
Atoms (fractional coordinates):
Rb: 0.0000 0.0000 0.0000  2 Li 2.86, 4 Al 3.17
Li: 0.0000 0.0000 0.5000  2 Rb 2.86
Al: 0.0000 0.5000 0.0000  2 Rb 3.17
Al: 0.5000 0.0000 0.0000  2 Rb 3.17
C: 0.5000 0.5000 0.5000  8 Al 4.27, 4 Li 4.48

Its calculated density is 1.14 Mg/m³. The value obtained for the total magnetization is 1.75 μB per formula unit.



B) ## RbLiAl2C (GGA-PBE)

Data for RbLiAl2C after structural relaxation.

a b c (Å): 4.7114 4.7114 6.3869
angles (deg): 90.00 90.00 90.00
Last column: nearest neighbours and their distance in Å.
Atoms (fractional coordinates):
Rb: 0.0000 0.0000 0.0000  2 Li 3.19, 4 C 3.33
Li: 0.0000 0.0000 0.5000  4 Al 2.36
Al: 0.0000 0.5000 0.5000  2 Li 2.36
Al: 0.5000 0.0000 0.5000  2 Li 2.36
C: 0.5000 0.5000 0.0000  4 Rb 3.33

Its calculated density is 1.86 Mg/m³. The value obtained for the total magnetization is 2.06 μB per formula unit.



From most stable to least stable, the computed energies give B), A).



A) ## Mg2AlC (GGA-PBE)

Data for Mg2AlC after structural relaxation.

a b c (Å): 6.3739 6.3739 6.3739
angles (deg): 90.00 90.00 90.00
Last column: nearest neighbours and their distance in Å.
Atoms (fractional coordinates):
Mg: 0.2500 0.2500 0.2500  4 C 2.76, 4 Al 2.76
Mg: 0.2500 0.2500 0.7500  4 Al 2.76, 4 C 2.76
Mg: 0.2500 0.7500 0.2500  4 Al 2.76, 4 C 2.76
Mg: 0.2500 0.7500 0.7500  4 Al 2.76, 4 C 2.76
Mg: 0.7500 0.2500 0.2500  4 Al 2.76, 4 C 2.76
Mg: 0.7500 0.2500 0.7500  4 Al 2.76, 4 C 2.76
Mg: 0.7500 0.7500 0.2500  4 Al 2.76, 4 C 2.76
Mg: 0.7500 0.7500 0.7500  4 Al 2.76, 4 C 2.76
Al: 0.0000 0.0000 0.0000  8 Mg 2.76
Al: 0.0000 0.5000 0.5000  8 Mg 2.76
Al: 0.5000 0.0000 0.5000  8 Mg 2.76
Al: 0.5000 0.5000 0.0000  8 Mg 2.76
C: 0.0000 0.0000 0.5000  8 Mg 2.76
C: 0.0000 0.5000 0.0000  8 Mg 2.76
C: 0.5000 0.0000 0.0000  8 Mg 2.76
C: 0.5000 0.5000 0.5000  8 Mg 2.76

Its calculated density is 2.25 Mg/m³. The value obtained for the total magnetization is 0.00 μB per formula unit.



B) ## Mg2AlC (GGA-PBE)

Data for Mg2AlC after structural relaxation.

a b c (Å): 8.5584 8.5584 3.8618
angles (deg): 90.00 90.00 90.00
Last column: nearest neighbours and their distance in Å.
Atoms (fractional coordinates):
Mg: 0.1086 0.2500 0.1250  2 C 2.38
Mg: 0.2500 0.6086 0.3750  2 C 2.38
Mg: 0.2500 0.8914 0.8750  2 C 2.38
Mg: 0.3914 0.2500 0.6250  2 C 2.38
Mg: 0.6086 0.7500 0.6250  2 C 2.38
Mg: 0.7500 0.1086 0.8750  2 C 2.38
Mg: 0.7500 0.3914 0.3750  2 C 2.38
Mg: 0.8914 0.7500 0.1250  2 C 2.38
Al: 0.0000 0.0000 0.5000  2 C 1.93
Al: 0.0000 0.5000 0.7500  2 C 1.93
Al: 0.5000 0.0000 0.2500  2 C 1.93
Al: 0.5000 0.5000 0.0000  2 C 1.93
C: 0.0000 0.0000 0.0000  2 Al 1.93
C: 0.0000 0.5000 0.2500  2 Al 1.93
C: 0.5000 0.0000 0.7500  2 Al 1.93
C: 0.5000 0.5000 0.5000  2 Al 1.93

Its calculated density is 2.06 Mg/m³. The value obtained for the total magnetization is 0.00 μB per formula unit.



From most stable to least stable, the computed energies give B), A).



A) ## Mg14AlC (GGA-PBE)

Data for Mg14AlC after structural relaxation.

a b c (Å): 8.6692 6.3419 6.3419
angles (deg): 75.76 90.00 90.00
Last column: nearest neighbours and their distance in Å.
Atoms (fractional coordinates):
Mg: 0.0000 0.0000 0.0000  10 Mg 3.05-3.30
Mg: 0.0000 0.4683 0.4683  8 Mg 3.09-3.24
Mg: 0.0000 0.5307 0.9462  11 Mg 3.02-3.38
Mg: 0.0000 0.9462 0.5307  11 Mg 3.02-3.38
Mg: 0.2292 0.2316 0.2316  8 Mg 2.97-3.28, 1 Al 3.10
Mg: 0.2857 0.6637 0.6637  1 C 2.39
Mg: 0.3131 0.1255 0.7515  1 C 2.51
Mg: 0.3131 0.7515 0.1255  1 C 2.51
Mg: 0.5000 0.4288 0.9698  1 C 2.40
Mg: 0.5000 0.9698 0.4288  1 C 2.40
Mg: 0.6869 0.1255 0.7515  1 C 2.51
Mg: 0.6869 0.7515 0.1255  1 C 2.51
Mg: 0.7143 0.6637 0.6637  1 C 2.39
Mg: 0.7708 0.2316 0.2316  8 Mg 2.97-3.28, 1 Al 3.10
Al: 0.5000 0.4331 0.4331  10 Mg 2.93-3.10
C: 0.5000 0.8134 0.8134  8 Mg 2.39-2.51

Its calculated density is 1.86 Mg/m³. The value obtained for the total magnetization is 0.00 μB per formula unit.



B) ## Mg14AlC (GGA-PBE)

Data for Mg14AlC after structural relaxation.

a b c (Å): 6.2510 6.2510 9.8424
angles (deg): 90.00 90.00 120.00
Last column: nearest neighbours and their distance in Å.
Atoms (fractional coordinates):
Mg: 0.0000 0.0000 0.2491  12 Mg 3.03-3.13
Mg: 0.0000 0.0000 0.7509  12 Mg 3.03-3.13
Mg: 0.0136 0.5068 0.2667  1 C 2.88, 8 Mg 2.96-3.20, 1 Al 3.14
Mg: 0.0136 0.5068 0.7333  1 C 2.88, 8 Mg 2.96-3.20, 1 Al 3.14
Mg: 0.3257 0.1628 0.5000  10 Mg 2.96-3.20, 2 C 3.13
Mg: 0.3383 0.1691 0.0000  10 Mg 3.06-3.20, 2 Al 3.13
Mg: 0.4932 0.5068 0.2667  1 C 2.88, 8 Mg 2.96-3.20, 1 Al 3.14
Mg: 0.4932 0.5068 0.7333  1 C 2.88, 8 Mg 2.96-3.20, 1 Al 3.14
Mg: 0.4932 0.9864 0.2667  1 C 2.88, 8 Mg 2.96-3.20, 1 Al 3.14
Mg: 0.4932 0.9864 0.7333  1 C 2.88, 8 Mg 2.96-3.20, 1 Al 3.14
Mg: 0.8309 0.1691 0.0000  10 Mg 3.06-3.20, 2 Al 3.13
Mg: 0.8309 0.6617 0.0000  10 Mg 3.06-3.20, 2 Al 3.13
Mg: 0.8372 0.1628 0.5000  10 Mg 2.96-3.20, 2 C 3.13
Mg: 0.8372 0.6743 0.5000  10 Mg 2.96-3.20, 2 C 3.13
Al: 0.3333 0.6667 0.0000  12 Mg 3.13-3.14
C: 0.3333 0.6667 0.5000  12 Mg 2.88-3.13

Its calculated density is 1.89 Mg/m³. The value obtained for the total magnetization is 0.00 μB per formula unit.



From most stable to least stable, the computed energies give A), B).



A) ## AlMoC3 (GGA-PBE)

Data for AlMoC3 after structural relaxation.

a b c (Å): 3.8025 3.8025 3.8025
angles (deg): 90.00 90.00 90.00
Last column: nearest neighbours and their distance in Å.
Atoms (fractional coordinates):
Al: 0.0000 0.0000 0.0000  6 C 1.90
Mo: 0.5000 0.5000 0.5000  12 C 2.69
C: 0.0000 0.0000 0.5000  2 Al 1.90
C: 0.0000 0.5000 0.0000  2 Al 1.90
C: 0.5000 0.0000 0.0000  2 Al 1.90

Its calculated density is 4.80 Mg/m³. The value obtained for the total magnetization is 0.00 μB per formula unit.



B) ## AlMoC3 (GGA-PBE)

Data for AlMoC3 after structural relaxation.

a b c (Å): 4.0947 4.0947 4.0947
angles (deg): 90.00 90.00 90.00
Last column: nearest neighbours and their distance in Å.
Atoms (fractional coordinates):
Al: 0.0000 0.0000 0.0000  12 C 2.90
Mo: 0.5000 0.5000 0.5000  6 C 2.05
C: 0.0000 0.5000 0.5000  2 Mo 2.05
C: 0.5000 0.0000 0.5000  2 Mo 2.05
C: 0.5000 0.5000 0.0000  2 Mo 2.05

Its calculated density is 3.84 Mg/m³. The value obtained for the total magnetization is 0.00 μB per formula unit.



From most stable to least stable, the computed energies give B), A).



A) ## AlCN2 (GGA-PBE)

Data for AlCN2 after structural relaxation.

a b c (Å): 2.9799 2.9799 14.2708
angles (deg): 90.00 90.00 120.00
Last column: nearest neighbours and their distance in Å.
Atoms (fractional coordinates):
Al: 0.0000 0.0000 0.0000  6 N 2.04
Al: 0.3333 0.6667 0.6667  6 N 2.04
Al: 0.6667 0.3333 0.3333  6 N 2.04
C: 0.0000 0.0000 0.5000  2 N 1.29
C: 0.3333 0.6667 0.1667  2 N 1.29
C: 0.6667 0.3333 0.8333  2 N 1.29
N: 0.0000 0.0000 0.4099  1 C 1.29
N: 0.0000 0.0000 0.5901  1 C 1.29
N: 0.3333 0.6667 0.0766  1 C 1.29
N: 0.3333 0.6667 0.2567  1 C 1.29
N: 0.6667 0.3333 0.7433  1 C 1.29
N: 0.6667 0.3333 0.9234  1 C 1.29

Its calculated density is 3.04 Mg/m³. The value obtained for the total magnetization is 0.00 μB per formula unit.



B) ## AlCN2 (GGA-PBE)

Data for AlCN2 after structural relaxation.

a b c (Å): 5.1036 5.1036 5.1036
angles (deg): 90.00 90.00 90.00
Last column: nearest neighbours and their distance in Å.
Atoms (fractional coordinates):
Al: 0.0000 0.0000 0.0000  8 N 2.21
Al: 0.0000 0.5000 0.5000  8 N 2.21
Al: 0.5000 0.0000 0.5000  8 N 2.21
Al: 0.5000 0.5000 0.0000  8 N 2.21
C: 0.0000 0.0000 0.5000  8 N 2.21
C: 0.0000 0.5000 0.0000  8 N 2.21
C: 0.5000 0.0000 0.0000  8 N 2.21
C: 0.5000 0.5000 0.5000  8 N 2.21
N: 0.2500 0.2500 0.2500  4 Al 2.21, 4 C 2.21
N: 0.2500 0.2500 0.7500  4 Al 2.21, 4 C 2.21
N: 0.2500 0.7500 0.2500  4 Al 2.21, 4 C 2.21
N: 0.2500 0.7500 0.7500  4 Al 2.21, 4 C 2.21
N: 0.7500 0.2500 0.2500  4 Al 2.21, 4 C 2.21
N: 0.7500 0.2500 0.7500  4 Al 2.21, 4 C 2.21
N: 0.7500 0.7500 0.2500  4 Al 2.21, 4 C 2.21
N: 0.7500 0.7500 0.7500  4 Al 2.21, 4 C 2.21

Its calculated density is 3.35 Mg/m³. The value obtained for the total magnetization is 0.00 μB per formula unit.



From most stable to least stable, the computed energies give A), B).



A) ## AlC2N (GGA-PBE)

Data for AlC2N after structural relaxation.

a b c (Å): 4.4092 4.4092 6.6713
angles (deg): 90.00 90.00 90.00
Last column: nearest neighbours and their distance in Å.
Atoms (fractional coordinates):
Al: 0.0000 0.0000 0.0000  4 C 2.02
Al: 0.0000 0.5000 0.2500  4 C 2.02
Al: 0.5000 0.0000 0.7500  4 C 2.02
Al: 0.5000 0.5000 0.5000  4 C 2.02
C: 0.1671 0.2500 0.6250  2 N 1.57
C: 0.2500 0.6671 0.8750  2 N 1.57
C: 0.2500 0.8329 0.3750  2 N 1.57
C: 0.3329 0.2500 0.1250  2 N 1.57
C: 0.6671 0.7500 0.1250  2 N 1.57
C: 0.7500 0.1671 0.3750  2 N 1.57
C: 0.7500 0.3329 0.8750  2 N 1.57
C: 0.8329 0.7500 0.6250  2 N 1.57
N: 0.0000 0.0000 0.5000  4 C 1.57
N: 0.0000 0.5000 0.7500  4 C 1.57
N: 0.5000 0.0000 0.2500  4 C 1.57
N: 0.5000 0.5000 0.0000  4 C 1.57

Its calculated density is 3.33 Mg/m³. The value obtained for the total magnetization is 0.00 μB per formula unit.



B) ## AlC2N (GGA-PBE)

Data for AlC2N after structural relaxation.

a b c (Å): 5.2109 5.2109 5.2109
angles (deg): 90.00 90.00 90.00
Last column: nearest neighbours and their distance in Å.
Atoms (fractional coordinates):
Al: 0.0000 0.0000 0.0000  8 C 2.26
Al: 0.0000 0.5000 0.5000  8 C 2.26
Al: 0.5000 0.0000 0.5000  8 C 2.26
Al: 0.5000 0.5000 0.0000  8 C 2.26
C: 0.2500 0.2500 0.2500  4 N 2.26, 4 Al 2.26
C: 0.2500 0.2500 0.7500  4 Al 2.26, 4 N 2.26
C: 0.2500 0.7500 0.2500  4 Al 2.26, 4 N 2.26
C: 0.2500 0.7500 0.7500  4 Al 2.26, 4 N 2.26
C: 0.7500 0.2500 0.2500  4 Al 2.26, 4 N 2.26
C: 0.7500 0.2500 0.7500  4 Al 2.26, 4 N 2.26
C: 0.7500 0.7500 0.2500  4 Al 2.26, 4 N 2.26
C: 0.7500 0.7500 0.7500  4 Al 2.26, 4 N 2.26
N: 0.0000 0.0000 0.5000  8 C 2.26
N: 0.0000 0.5000 0.0000  8 C 2.26
N: 0.5000 0.0000 0.0000  8 C 2.26
N: 0.5000 0.5000 0.5000  8 C 2.26

Its calculated density is 3.05 Mg/m³. The value obtained for the total magnetization is 0.00 μB per formula unit.



From most stable to least stable, the computed energies give A), B).